Record 1
Here is a relaxed structure of ZrNb2B6 from the Alexandria database. Energies are from PBE-GGA.

Geometry as extended XYZ:
```
9
Lattice="3.408 0.000 0.000 0.000 4.705 -2.716 0.000 0.000 5.432" Properties=species:S:1:pos:R:3 pbc="T T T"
Zr 0.000 0.000 0.000
Nb 0.000 1.568 2.716
Nb 0.000 3.136 0.000
B 1.704 1.580 0.912
B 1.704 3.125 1.804
B 1.704 0.000 3.608
B 1.704 3.125 3.628
B 1.704 1.580 -0.912
B 1.704 0.000 1.824
```

***

Record 2
Here is a relaxed structure of PmSc2In9 from the Alexandria database. Energies are from PBE-GGA.

Geometry as extended XYZ:
```
12
Lattice="-1.960 -3.492 -2.240 -2.050 -1.339 3.881 -10.790 7.954 -2.956" Properties=species:S:1:pos:R:3 pbc="T T T"
Pm 0.000 0.000 0.000
Sc -3.639 2.683 -0.997
Sc -7.151 5.271 -1.959
In -2.005 -2.415 0.820
In -5.632 0.258 -0.173
In -9.168 2.865 -1.142
In -2.869 -0.354 -1.638
In -6.375 2.231 -2.598
In -9.881 4.816 -3.559
In -2.914 0.723 1.423
In -6.420 3.308 0.462
In -9.926 5.892 -0.498
```

***

Energy / eV per atom: -8.436 -3.861
Energy relative to the elements / eV per formula unit: -7.2 -4.3